CdSnPC2 | PBE-GGA | relaxed

a = 4.1477 Å, b = 6.4090 Å, c = 4.1477 Å
α = 90.00°, β = 90.00°, γ = 90.00°
Last column: magnetic moment on the atom in μB.
Sites, in units of the cell vectors:
P  0.5000  0.5000  0.5000  -0.29
C  0.0000  0.0000  0.5000  0.41
C  0.5000  0.0000  0.0000  0.47
Sn  0.0000  0.0000  0.0000  -0.04
Cd  0.0000  0.5000  0.0000  0.02

Its crystal system is tetragonal. As for the symmetry: P4/mmm (123). The calculation puts the formation energy at 2355 meV/atom.

---

Zr2CrSb | PBE-GGA | relaxed

a = 4.1319 Å, b = 4.1319 Å, c = 10.8337 Å
α = 79.01°, β = 79.01°, γ = 90.00°
Last column: magnetic moment on the atom in μB.
Sites, in units of the cell vectors:
Sb  0.0000  0.0000  0.0000  -0.07
Sb  0.7500  0.2500  0.5000  -0.07
Zr  0.6260  0.1250  0.2500  -0.19
Zr  0.1240  0.6250  0.2500  -0.20
Zr  0.3750  0.3740  0.7500  -0.22
Zr  0.8750  0.8760  0.7500  -0.22
Cr  0.5000  0.5000  0.0000  3.13
Cr  0.2500  0.7500  0.5000  3.12

For the uncorrected formation energy, the calculation gives 33.1 kJ/mol of atoms. Its crystal system is tetragonal. As for the symmetry: I-42d (122).

---

CaPIr | PBE-GGA | relaxed

a = 4.4934 Å, b = 4.4934 Å, c = 4.4934 Å
α = 60.00°, β = 60.00°, γ = 60.00°
Sites, in units of the cell vectors:
Ca  0.2500  0.2500  0.2500
Ir  0.0000  0.0000  0.0000
P  0.5000  0.5000  0.5000

Its crystal system is cubic. As for the symmetry: F-43m (216). The calculation puts the formation energy at 615 meV/atom.

---

Zr2TaOs | PBE-GGA | relaxed

a = 4.7096 Å, b = 4.7096 Å, c = 4.7096 Å
α = 60.00°, β = 60.00°, γ = 60.00°
Sites, in units of the cell vectors:
Os  0.5000  0.5000  0.5000
Ta  0.7500  0.7500  0.7500
Zr  0.0000  0.0000  0.0000
Zr  0.2500  0.2500  0.2500

The energy above the most stable polymorph in this dataset is 87.9 meV per atom. Its crystal system is cubic. As for the symmetry: F-43m (216). The calculation puts the formation energy at -136 meV/atom.